# ScGaCu2I | Alexandria | PBE | optimized geometry
data_ScGaCu2I
_chemical_formula_sum 'Sc1 Ga1 Cu2 I1'
_space_group_name_H-M_alt 'P 4/m m m'
_space_group_IT_number 123
_space_group_name_Hall '-P 4 2'
_cell_length_a 5.080
_cell_length_b 5.080
_cell_length_c 5.575
_cell_angle_alpha 90.00
_cell_angle_beta 90.00
_cell_angle_gamma 90.00
loop_
_atom_site_label
_atom_site_type_symbol
_atom_site_fract_x
_atom_site_fract_y
_atom_site_fract_z
Sc1 Sc 0.000 0.000 0.000
Ga1 Ga 0.500 0.500 0.500
Cu1 Cu 0.000 0.500 0.000
I1 I 0.000 0.000 0.500
# - N(E_F): 3.307 states/eV/cell
# - Magnetization: 0.0 μB per cell
# - Total energy: -3.277 eV per atom


# Ga2CuSiI | Alexandria | PBE | optimized geometry
data_Ga2CuSiI
_chemical_formula_sum 'Ga2 Cu1 Si1 I1'
_space_group_name_H-M_alt 'P 4/m m m'
_space_group_IT_number 123
_space_group_name_Hall '-P 4 2'
_cell_length_a 4.619
_cell_length_b 4.619
_cell_length_c 5.793
_cell_angle_alpha 90.00
_cell_angle_beta 90.00
_cell_angle_gamma 90.00
loop_
_atom_site_label
_atom_site_type_symbol
_atom_site_fract_x
_atom_site_fract_y
_atom_site_fract_z
Ga1 Ga 0.000 0.500 0.000
Cu1 Cu 0.000 0.000 0.000
Si1 Si 0.500 0.500 0.500
I1 I 0.000 0.000 0.500
# - N(E_F): 3.174 states/eV/cell
# - Magnetization: 0.0 μB per cell
# - Total energy: -2.846 eV per atom


# GaCuTe2I | Alexandria | PBE | optimized geometry
data_GaCuTe2I
_chemical_formula_sum 'Ga1 Cu1 Te2 I1'
_space_group_name_H-M_alt 'P 4/m m m'
_space_group_IT_number 123
_space_group_name_Hall '-P 4 2'
_cell_length_a 5.398
_cell_length_b 5.398
_cell_length_c 5.635
_cell_angle_alpha 90.00
_cell_angle_beta 90.00
_cell_angle_gamma 90.00
loop_
_atom_site_label
_atom_site_type_symbol
_atom_site_fract_x
_atom_site_fract_y
_atom_site_fract_z
Ga1 Ga 0.000 0.000 0.000
Cu1 Cu 0.500 0.500 0.500
Te1 Te 0.000 0.500 0.000
I1 I 0.000 0.000 0.500
# - N(E_F): 6.586 states/eV/cell
# - Magnetization: 0.0 μB per cell
# - Total energy: -2.356 eV per atom


# GaCuTeI2 | Alexandria | PBE | optimized geometry
data_GaCuTeI2
_chemical_formula_sum 'Ga1 Cu1 Te1 I2'
_space_group_name_H-M_alt 'P 4/m m m'
_space_group_IT_number 123
_space_group_name_Hall '-P 4 2'
_cell_length_a 5.626
_cell_length_b 5.626
_cell_length_c 5.452
_cell_angle_alpha 90.00
_cell_angle_beta 90.00
_cell_angle_gamma 90.00
loop_
_atom_site_label
_atom_site_type_symbol
_atom_site_fract_x
_atom_site_fract_y
_atom_site_fract_z
Ga1 Ga 0.000 0.000 0.000
Cu1 Cu 0.500 0.500 0.500
Te1 Te 0.000 0.000 0.500
I1 I 0.000 0.500 0.000
# - N(E_F): 4.009 states/eV/cell
# - Magnetization: 0.0 μB per cell
# - Total energy: -2.175 eV per atom


# GaCuTeI2 | Alexandria | PBE | optimized geometry
data_GaCuTeI2
_chemical_formula_sum 'Ga1 Cu1 Te1 I2'
_space_group_name_H-M_alt 'P 4/m m m'
_space_group_IT_number 123
_space_group_name_Hall '-P 4 2'
_cell_length_a 5.517
_cell_length_b 5.517
_cell_length_c 5.182
_cell_angle_alpha 90.00
_cell_angle_beta 90.00
_cell_angle_gamma 90.00
loop_
_atom_site_label
_atom_site_type_symbol
_atom_site_fract_x
_atom_site_fract_y
_atom_site_fract_z
Ga1 Ga 0.000 0.000 0.000
Cu1 Cu 0.500 0.500 0.500
Te1 Te 0.500 0.500 0.000
I1 I 0.000 0.500 0.500
# - N(E_F): 4.453 states/eV/cell
# - Magnetization: 0.0 μB per cell
# - Total energy: -2.553 eV per atom


# GaCuTe2I | Alexandria | PBE | optimized geometry
data_GaCuTe2I
_chemical_formula_sum 'Ga1 Cu1 Te2 I1'
_space_group_name_H-M_alt 'P 4/m m m'
_space_group_IT_number 123
_space_group_name_Hall '-P 4 2'
_cell_length_a 5.182
_cell_length_b 5.182
_cell_length_c 5.613
_cell_angle_alpha 90.00
_cell_angle_beta 90.00
_cell_angle_gamma 90.00
loop_
_atom_site_label
_atom_site_type_symbol
_atom_site_fract_x
_atom_site_fract_y
_atom_site_fract_z
Ga1 Ga 0.000 0.000 0.000
Cu1 Cu 0.500 0.500 0.500
Te1 Te 0.000 0.500 0.500
I1 I 0.500 0.500 0.000
# - N(E_F): 4.144 states/eV/cell
# - Magnetization: 0.0 μB per cell
# - Total energy: -2.768 eV per atom


# TlGa2CuI8 | Alexandria | PBE | optimized geometry
data_TlGa2CuI8
_chemical_formula_sum 'Tl2 Ga4 Cu2 I16'
_space_group_name_H-M_alt 'C 1 2/m 1'
_space_group_IT_number 12
_cell_length_a 15.035
_cell_length_b 7.893
_cell_length_c 9.348
_cell_angle_alpha 90.00
_cell_angle_beta 112.81
_cell_angle_gamma 90.00
loop_
_space_group_symop_operation_xyz
'x,y,z'
'-x,-y,-z'
'-x,y,-z'
'x,-y,z'
'x+1/2,y+1/2,z'
'-x+1/2,-y+1/2,-z'
'-x+1/2,y+1/2,-z'
'x+1/2,-y+1/2,z'
loop_
_atom_site_label
_atom_site_type_symbol
_atom_site_fract_x
_atom_site_fract_y
_atom_site_fract_z
Tl1 Tl 0.000 0.000 0.000
Ga1 Ga 0.183 0.000 0.658
Cu1 Cu 0.000 0.500 0.500
I1 I 0.097 0.262 0.725
I2 I 0.137 0.500 0.156
I3 I 0.180 0.000 0.382
# - Magnetization: 0.0 μB per cell
# - Total energy: -2.460 eV per atom


# ZnGaCuI2 | Alexandria | PBE | optimized geometry
data_ZnGaCuI2
_chemical_formula_sum 'Zn1 Ga1 Cu1 I2'
_space_group_name_H-M_alt 'P 4/m m m'
_space_group_IT_number 123
_space_group_name_Hall '-P 4 2'
_cell_length_a 5.900
_cell_length_b 5.900
_cell_length_c 4.637
_cell_angle_alpha 90.00
_cell_angle_beta 90.00
_cell_angle_gamma 90.00
loop_
_atom_site_label
_atom_site_type_symbol
_atom_site_fract_x
_atom_site_fract_y
_atom_site_fract_z
Zn1 Zn 0.000 0.000 0.000
Ga1 Ga 0.500 0.500 0.500
Cu1 Cu 0.500 0.500 0.000
I1 I 0.000 0.500 0.500
# - N(E_F): 4.114 states/eV/cell
# - Magnetization: 0.0 μB per cell
# - Total energy: -1.963 eV per atom


# InGaCu6 | Alexandria | PBE | optimized geometry
data_InGaCu6
_chemical_formula_sum 'In1 Ga1 Cu6'
_space_group_name_H-M_alt 'P -6 m 2'
_space_group_IT_number 187
_space_group_name_Hall 'P -6 2'
_cell_length_a 5.3890
_cell_length_b 5.3890
_cell_length_c 4.3066
_cell_angle_alpha 90.00
_cell_angle_beta 90.00
_cell_angle_gamma 120.00
loop_
_atom_site_label
_atom_site_type_symbol
_atom_site_fract_x
_atom_site_fract_y
_atom_site_fract_z
In1 In 0.0000 0.0000 0.0000
Ga1 Ga 0.6667 0.3333 0.5000
Cu1 Cu 0.0039 0.5019 0.0000
Cu2 Cu 0.1754 0.3508 0.5000
# - N(E_F): 2.342 states/eV/cell
# - Magnetization: 0.0 μB per cell
# - E_form: -0.02 eV per atom


# InGa3Cu | Alexandria | PBE | optimized geometry
data_InGa3Cu
_chemical_formula_sum 'In2 Ga6 Cu2'
_space_group_name_H-M_alt 'P 1 21/m 1'
_space_group_IT_number 11
_cell_length_a 6.512
_cell_length_b 3.984
_cell_length_c 7.669
_cell_angle_alpha 90.00
_cell_angle_beta 109.85
_cell_angle_gamma 90.00
loop_
_space_group_symop_operation_xyz
'x,y,z'
'-x,-y,-z'
'-x,y+1/2,-z'
'x,-y+1/2,z'
loop_
_atom_site_label
_atom_site_type_symbol
_atom_site_fract_x
_atom_site_fract_y
_atom_site_fract_z
In1 In 0.162 0.250 0.156
Ga1 Ga 0.083 0.250 0.655
Ga2 Ga 0.332 0.750 0.901
Ga3 Ga 0.352 0.750 0.519
Cu1 Cu 0.495 0.250 0.749
# - N(E_F): 3.170 states/eV/cell
# - Magnetization: 0.0 μB per cell
# - E_form: -0.02 eV per atom


# InGaCu6 | Alexandria | PBE | optimized geometry
data_InGaCu6
_chemical_formula_sum 'In1 Ga1 Cu6'
_space_group_name_H-M_alt 'P m m 2'
_space_group_IT_number 25
_cell_length_a 4.287
_cell_length_b 5.308
_cell_length_c 4.761
_cell_angle_alpha 90.00
_cell_angle_beta 90.00
_cell_angle_gamma 90.00
loop_
_space_group_symop_operation_xyz
'x,y,z'
'-x,-y,z'
'-x,y,z'
'x,-y,z'
loop_
_atom_site_label
_atom_site_type_symbol
_atom_site_fract_x
_atom_site_fract_y
_atom_site_fract_z
In1 In 0.000 0.000 0.000
Ga1 Ga 0.500 0.500 0.315
Cu1 Cu 0.000 0.260 0.500
Cu2 Cu 0.000 0.500 0.997
Cu3 Cu 0.500 0.000 0.356
Cu4 Cu 0.500 0.262 0.813
# - N(E_F): 1.607 states/eV/cell
# - Magnetization: 0.0 μB per cell
# - E_form: -0.04 eV per atom


# InGa3Cu | Alexandria | PBE | optimized geometry
data_InGa3Cu
_chemical_formula_sum 'In2 Ga6 Cu2'
_space_group_name_H-M_alt 'P 63/m m c'
_space_group_IT_number 194
_space_group_name_Hall '-P 6c 2c'
_cell_length_a 6.4545
_cell_length_b 6.4545
_cell_length_c 5.4311
_cell_angle_alpha 90.00
_cell_angle_beta 90.00
_cell_angle_gamma 120.00
loop_
_atom_site_label
_atom_site_type_symbol
_atom_site_fract_x
_atom_site_fract_y
_atom_site_fract_z
In1 In 0.3333 0.6667 0.2500
Ga1 Ga 0.1909 0.3818 0.7500
Cu1 Cu 0.0000 0.0000 0.0000
# - N(E_F): 4.172 states/eV/cell
# - Magnetization: 0.0 μB per cell
# - E_form: 0.05 eV per atom


# InGaCu3 | Alexandria | PBE | optimized geometry
data_InGaCu3
_chemical_formula_sum 'In1 Ga1 Cu3'
_space_group_name_H-M_alt 'P m -3 m'
_space_group_IT_number 221
_space_group_name_Hall '-P 4 2 3'
_cell_length_a 4.890
_cell_length_b 4.890
_cell_length_c 4.890
_cell_angle_alpha 90.00
_cell_angle_beta 90.00
_cell_angle_gamma 90.00
loop_
_atom_site_label
_atom_site_type_symbol
_atom_site_fract_x
_atom_site_fract_y
_atom_site_fract_z
In1 In 0.000 0.000 0.000
Ga1 Ga 0.500 0.500 0.500
Cu1 Cu 0.000 0.000 0.500
# - N(E_F): 2.478 states/eV/cell
# - Magnetization: 0.0 μB per cell
# - E_form: 0.80 eV per atom


# InGaCu14 | Alexandria | PBE | optimized geometry
data_InGaCu14
_chemical_formula_sum 'In1 Ga1 Cu14'
_space_group_name_H-M_alt 'P 4/m m m'
_space_group_IT_number 123
_space_group_name_Hall '-P 4 2'
_cell_length_a 5.315
_cell_length_b 5.315
_cell_length_c 7.206
_cell_angle_alpha 90.00
_cell_angle_beta 90.00
_cell_angle_gamma 90.00
loop_
_atom_site_label
_atom_site_type_symbol
_atom_site_fract_x
_atom_site_fract_y
_atom_site_fract_z
In1 In 0.000 0.000 0.000
Ga1 Ga 0.500 0.500 0.000
Cu1 Cu 0.000 0.000 0.500
Cu2 Cu 0.000 0.500 0.000
Cu3 Cu 0.000 0.500 0.500
Cu4 Cu 0.255 0.255 0.262
Cu5 Cu 0.500 0.500 0.500
# - N(E_F): 3.784 states/eV/cell
# - Magnetization: 0.0 μB per cell
# - E_form: -0.01 eV per atom


# InGaCu3 | Alexandria | PBE | optimized geometry
data_InGaCu3
_chemical_formula_sum 'In1 Ga1 Cu3'
_space_group_name_H-M_alt 'P m -3 m'
_space_group_IT_number 221
_space_group_name_Hall '-P 4 2 3'
_cell_length_a 4.558
_cell_length_b 4.558
_cell_length_c 4.558
_cell_angle_alpha 90.00
_cell_angle_beta 90.00
_cell_angle_gamma 90.00
loop_
_atom_site_label
_atom_site_type_symbol
_atom_site_fract_x
_atom_site_fract_y
_atom_site_fract_z
In1 In 0.000 0.000 0.000
Ga1 Ga 0.500 0.500 0.500
Cu1 Cu 0.000 0.500 0.500
# - N(E_F): 2.180 states/eV/cell
# - Magnetization: 0.0 μB per cell
# - E_form: 0.44 eV per atom


# In2Ga2Cu15 | Alexandria | PBE | optimized geometry
data_In2Ga2Cu15
_chemical_formula_sum 'In6 Ga6 Cu45'
_space_group_name_H-M_alt 'R -3 m'
_space_group_IT_number 166
_space_group_name_Hall '-R 3 2"'
_cell_length_a 8.4923
_cell_length_b 8.4923
_cell_length_c 12.6850
_cell_angle_alpha 90.00
_cell_angle_beta 90.00
_cell_angle_gamma 120.00
loop_
_atom_site_label
_atom_site_type_symbol
_atom_site_fract_x
_atom_site_fract_y
_atom_site_fract_z
In1 In 0.0000 0.0000 0.1424
Ga1 Ga 0.0000 0.0000 0.3950
Cu1 Cu 0.0000 0.3192 0.5000
Cu2 Cu 0.0000 0.5000 0.0000
Cu3 Cu 0.0022 0.5011 0.6608
# - N(E_F): 26.253 states/eV/cell
# - Magnetization: 0.0 μB per cell
# - E_form: 0.03 eV per atom


# InGaCu2 | Alexandria | PBE | optimized geometry
data_InGaCu2
_chemical_formula_sum 'In3 Ga3 Cu6'
_space_group_name_H-M_alt 'R 3 m'
_space_group_IT_number 160
_space_group_name_Hall 'R 3 -2"'
_cell_length_a 3.0413
_cell_length_b 3.0413
_cell_length_c 24.6320
_cell_angle_alpha 90.00
_cell_angle_beta 90.00
_cell_angle_gamma 120.00
loop_
_atom_site_label
_atom_site_type_symbol
_atom_site_fract_x
_atom_site_fract_y
_atom_site_fract_z
In1 In 0.0000 0.0000 0.0000
Ga1 Ga 0.0000 0.0000 0.1666
Cu1 Cu 0.0000 0.0000 0.5774
Cu2 Cu 0.0000 0.0000 0.7556
# - N(E_F): 2.721 states/eV/cell
# - Magnetization: 0.0 μB per cell
# - E_form: 0.11 eV per atom


# InGa2Cu8 | Alexandria | PBE | optimized geometry
data_InGa2Cu8
_chemical_formula_sum 'In2 Ga4 Cu16'
_space_group_name_H-M_alt 'C 1 2/m 1'
_space_group_IT_number 12
_cell_length_a 6.881
_cell_length_b 12.841
_cell_length_c 4.540
_cell_angle_alpha 90.00
_cell_angle_beta 129.98
_cell_angle_gamma 90.00
loop_
_space_group_symop_operation_xyz
'x,y,z'
'-x,-y,-z'
'-x,y,-z'
'x,-y,z'
'x+1/2,y+1/2,z'
'-x+1/2,-y+1/2,-z'
'-x+1/2,y+1/2,-z'
'x+1/2,-y+1/2,z'
loop_
_atom_site_label
_atom_site_type_symbol
_atom_site_fract_x
_atom_site_fract_y
_atom_site_fract_z
In1 In 0.000 0.000 0.000
Ga1 Ga 0.000 0.317 0.500
Cu1 Cu 0.000 0.201 0.000
Cu2 Cu 0.011 0.500 0.759
Cu3 Cu 0.235 0.137 0.730
# - N(E_F): 7.115 states/eV/cell
# - Magnetization: 0.0 μB per cell
# - E_form: 0.03 eV per atom


# In5Ga12Cu3 | Alexandria | PBE | optimized geometry
data_In5Ga12Cu3
_chemical_formula_sum 'In40 Ga96 Cu24'
_space_group_name_H-M_alt 'I a -3 d'
_space_group_IT_number 230
_space_group_name_Hall '-I 4bd 2c 3'
_cell_length_a 15.469
_cell_length_b 15.469
_cell_length_c 15.469
_cell_angle_alpha 90.00
_cell_angle_beta 90.00
_cell_angle_gamma 90.00
loop_
_atom_site_label
_atom_site_type_symbol
_atom_site_fract_x
_atom_site_fract_y
_atom_site_fract_z
In1 In 0.000 0.000 0.000
In2 In 0.000 0.250 0.375
Ga1 Ga 0.013 0.094 0.651
Cu1 Cu 0.000 0.250 0.125
# - N(E_F): 58.948 states/eV/cell
# - Magnetization: 0.0 μB per cell
# - E_form: 0.15 eV per atom


# InGaCu2 | Alexandria | PBE | optimized geometry
data_InGaCu2
_chemical_formula_sum 'In1 Ga1 Cu2'
_space_group_name_H-M_alt 'P 4/m m m'
_space_group_IT_number 123
_space_group_name_Hall '-P 4 2'
_cell_length_a 3.339
_cell_length_b 3.339
_cell_length_c 5.757
_cell_angle_alpha 90.00
_cell_angle_beta 90.00
_cell_angle_gamma 90.00
loop_
_atom_site_label
_atom_site_type_symbol
_atom_site_fract_x
_atom_site_fract_y
_atom_site_fract_z
In1 In 0.000 0.000 0.000
Ga1 Ga 0.000 0.000 0.500
Cu1 Cu 0.500 0.500 0.276
# - N(E_F): 0.503 states/eV/cell
# - Magnetization: 0.0 μB per cell
# - E_form: 0.07 eV per atom